Record 1
Material: Rb2VTeCl
Method: DFT, PBE-GGA
State: optimized geometry

Cell and atoms, written as POSCAR:
```
Rb2VTeCl
1.0
6.1633 0.0000 0.0000
0.0000 6.1633 0.0000
0.0000 0.0000 4.8842
Rb V Te Cl
2 1 1 1
Direct
0.0000 0.5000 0.0000
0.5000 0.0000 0.0000
0.0000 0.0000 0.5000
0.5000 0.5000 0.5000
0.0000 0.0000 0.0000
```

Properties
density	3.4	g/cm3
ΔE_f (raw)	-0.373	eV per atom
space group	P4/mmm

=====

Record 2
Material: NaRu2Pb2
Method: DFT, PBE-GGA
State: optimized geometry

Cell and atoms, written as POSCAR:
```
NaRu2Pb2
1.0
7.8699 0.0000 0.0000
0.0000 7.8699 0.0000
0.0000 0.0000 3.2379
Na Ru Pb
2 4 4
Direct
0.0000 0.0000 0.0000
0.5000 0.5000 0.0000
0.1349 0.3651 0.0000
0.3651 0.8651 0.0000
0.6349 0.1349 0.0000
0.8651 0.6349 0.0000
0.1607 0.6607 0.5000
0.3393 0.1607 0.5000
0.6607 0.8393 0.5000
0.8393 0.3393 0.5000
```

Properties
formation enthalpy at 0 K	331	meV/atom
density	10.6	g/cm3
space group	P4/mbm

=====

Record 3
Material: Ga2GeCl6
Method: DFT, PBE-GGA
State: optimized geometry

Cell and atoms, written as POSCAR:
```
Ga2GeCl6
1.0
7.4366 -6.4258 0.0000
7.4366 6.4258 0.0000
-0.8527 0.0000 6.4318
Ga Ge Cl
4 2 12
Direct
0.0041 0.8303 0.7305
0.1697 0.9959 0.7695
0.8303 0.0041 0.2305
0.9959 0.1697 0.2695
0.4318 0.5682 0.7500
0.5682 0.4318 0.2500
0.0607 0.6234 0.8219
0.0850 0.2054 0.6207
0.2054 0.0850 0.1207
0.3456 0.4569 0.3695
0.3766 0.9393 0.6781
0.4569 0.3456 0.8695
0.5431 0.6544 0.1305
0.6234 0.0607 0.3219
0.6544 0.5431 0.6305
0.7946 0.9150 0.8793
0.9150 0.7946 0.3793
0.9393 0.3766 0.1781
```

Properties
density	2.3	g/cm3
ΔE to the lowest computed polymorph	0.0	meV/atom
ΔE_f (raw)	-0.934	eV per atom
space group	C2/c

=====

Record 4
Material: HgH
Method: DFT, PBE-GGA
State: optimized geometry

Cell and atoms, written as POSCAR:
```
HgH
1.0
5.5391 0.0000 0.0000
0.0000 7.6019 0.0000
0.0000 0.0000 5.2132
Hg H
6 6
Direct
0.2500 0.0412 0.1272
0.2500 0.4588 0.1272
0.2500 0.7500 0.7106
0.7500 0.2500 0.2894
0.7500 0.5412 0.8728
0.7500 0.9588 0.8728
0.2500 0.2500 0.9331
0.2500 0.5810 0.4160
0.2500 0.9190 0.4160
0.7500 0.0810 0.5840
0.7500 0.4190 0.5840
0.7500 0.7500 0.0669
```

Properties
density	9.2	g/cm3
ΔE to the lowest computed polymorph	344.0	meV/atom
space group	Pmmn

=====

Record 5
Material: TlFe2Os
Method: DFT, PBE-GGA
State: optimized geometry

Cell and atoms, written as POSCAR:
```
TlFe2Os
1.0
1.4230 0.8216 8.8032
-1.4230 0.8216 8.8032
0.0000 -1.6431 8.8032
Tl Fe Os
1 2 1
Direct
0.0000 0.0000 0.0000
0.2433 0.2433 0.2433
0.7567 0.7567 0.7567
0.5000 0.5000 0.5000
```

Properties
formation enthalpy at 0 K	633	meV/atom
density	13.6	g/cm3
ΔE to the lowest computed polymorph	115.3	meV/atom
space group	R-3m

=====

Record 6
Material: InCuTcIr2
Method: DFT, PBE-GGA
State: optimized geometry

Cell and atoms, written as POSCAR:
```
InCuTcIr2
1.0
4.8760 0.0000 0.0000
0.0000 4.8760 0.0000
0.0000 0.0000 4.5369
In Cu Tc Ir
1 1 1 2
Direct
0.0000 0.0000 0.0000
0.0000 0.0000 0.5000
0.5000 0.5000 0.5000
0.0000 0.5000 0.0000
0.5000 0.0000 0.0000
```

Properties
formation enthalpy at 0 K	1953	meV/atom
density	10.2	g/cm3
space group	P4/mmm